A plane-wave DFT calculation with PBE-GGA was carried out for NpPa2MnN6 after structural relaxation.

The structure belongs to space group R-3 (No. 148, hexagonal axes); the cell edges are 5.8421, 5.8421 and 13.0573 Å and the angles 90.00°, 90.00° and 120.00°. The asymmetric unit holds Np at (0.0000, 0.0000, 0.0000), Pa at (0.0000, 0.0000, 0.2749), Mn at (0.0000, 0.0000, 0.5000) and N at (0.0271, 0.4032, 0.2563).

The value obtained for the magnetization is 4.024 μB per formula unit. For the total energy, the calculation gives -101.80 eV per formula unit. For the uncorrected formation energy, the calculation gives -1.07 eV/atom.



A plane-wave DFT calculation with PBE-GGA was carried out for Np2PaMnN5 after structural relaxation.

The structure belongs to space group P4/mbm (No. 127); the cell edges are 6.3016, 6.3016 and 5.5252 Å and the angles 90.00°, 90.00° and 90.00°. The asymmetric unit holds Np at (0.1630, 0.3370, 0.0000), Pa at (0.0000, 0.0000, 0.5000), Mn at (0.0000, 0.5000, 0.5000), N at (0.0000, 0.0000, 0.0000) and N at (0.1594, 0.6594, 0.2701).

The value obtained for the magnetization is 3.003 μB per formula unit. For the total energy, the calculation gives -95.25 eV per formula unit. For the uncorrected formation energy, the calculation gives -1.01 eV/atom.



A plane-wave DFT calculation with PBE-GGA was carried out for Np2PaMnN4 after structural relaxation.

The structure belongs to space group Cmcm (No. 63); the cell edges are 3.3137, 11.2838 and 11.3794 Å and the angles 90.00°, 90.00° and 90.00°. The asymmetric unit holds Np at (0.0000, 0.1327, 0.0563), Pa at (0.0000, 0.3916, 0.2500), Mn at (0.0000, 0.3474, 0.7500), N at (0.0000, 0.0445, 0.2500), N at (0.0000, 0.2222, 0.6275) and N at (0.0000, 0.5000, 0.0000).

The value obtained for the magnetization is 4.217 μB per formula unit. For the total energy, the calculation gives -86.49 eV per formula unit. For the uncorrected formation energy, the calculation gives -1.08 eV/atom.



A plane-wave DFT calculation with PBE-GGA was carried out for Pm2NpMnN4 after structural relaxation.

The structure belongs to space group Cmcm (No. 63); the cell edges are 3.3937, 11.4112 and 12.0725 Å and the angles 90.00°, 90.00° and 90.00°. The asymmetric unit holds Pm at (0.0000, 0.1322, 0.0492), Np at (0.0000, 0.3986, 0.2500), Mn at (0.0000, 0.3330, 0.7500), N at (0.0000, 0.0524, 0.2500), N at (0.0000, 0.2198, 0.6384) and N at (0.0000, 0.5000, 0.0000).

The value obtained for the magnetization is 6.056 μB per formula unit. For the total energy, the calculation gives -72.02 eV per formula unit. For the uncorrected formation energy, the calculation gives -0.89 eV/atom.